Record 1
{"formula": "LuPaHg", "functional": "PBE", "state": "optimized geometry", "energy_ev_per_atom": -4.794, "formation_energy_ev_per_atom": -0.021, "lattice_angstrom": [[-0.684, -0.127, 3.202], [-0.116, -3.271, -0.154], [7.309, 1.385, -0.061]], "species": ["Pa", "Lu", "Hg"], "frac_coords": [[0.002, 0.002, 0.005], [0.325, 0.325, 0.650], [0.673, 0.673, 0.346]]}

Record 2
{"formula": "TlNiAu2", "functional": "PBE", "state": "optimized geometry", "energy_ev_per_atom": -3.448, "de_polymorph_ev_per_atom": 0.105, "formation_energy_ev_per_atom": 0.227, "lattice_angstrom": [[4.610, 0.001, 0.004], [-2.298, 5.321, 0.042], [0.013, 0.918, 3.032]], "species": ["Au", "Au", "Ni", "Tl"], "frac_coords": [[0.000, 0.000, 0.000], [0.500, 0.000, 0.500], [0.000, 0.500, 0.500], [0.500, 0.500, 0.000]]}

Record 3
{"formula": "Dy3YSc2S6", "functional": "PBE", "state": "optimized geometry", "energy_ev_per_atom": -6.751, "formation_energy_uncorrected_ev_per_atom": -1.94, "lattice_angstrom": [[-3.997, -5.233, 0.943], [2.030, 1.592, -6.131], [5.674, -2.490, 2.431]], "species": ["Dy", "Dy", "Dy", "Y", "Sc", "Sc", "S", "S", "S", "S", "S", "S"], "frac_coords": [[0.163, 0.837, 0.500], [0.837, 0.163, 0.500], [0.500, 0.500, 0.500], [0.000, 0.000, 0.000], [0.334, 0.666, 0.000], [0.666, 0.334, 0.000], [0.920, 0.577, 0.759], [0.736, 0.736, 0.237], [0.080, 0.423, 0.241], [0.577, 0.920, 0.759], [0.264, 0.264, 0.763], [0.423, 0.080, 0.241]]}